[1]
ThCrSi2 | GGA-PBE | relaxed

Output
**Calculated density**: 7.669 g/cm3
**Final energy**: -0.2750 Ha/atom
**Uncorrected formation energy**: -11.8 kcal/mol of atoms

Cell: 4.0232 7.1944 10.1802 Å, 90.00 90.00 90.00°
Last column: nearest neighbours and their distance in Å.
Atoms (fractional coordinates):
Th: 0.7500 0.8494 0.1283  9 Si 3.06-3.29, 3 Cr 3.29-3.42
Th: 0.2500 0.1506 0.8717  9 Si 3.06-3.29, 3 Cr 3.29-3.42
Th: 0.7500 0.3494 0.3717  9 Si 3.06-3.29, 3 Cr 3.29-3.42
Th: 0.2500 0.6506 0.6283  9 Si 3.06-3.29, 3 Cr 3.29-3.42
Cr: 0.2500 0.4892 0.1073  5 Si 2.37-2.49
Cr: 0.2500 0.9892 0.3927  5 Si 2.37-2.49
Cr: 0.7500 0.5108 0.8927  5 Si 2.37-2.49
Cr: 0.7500 0.0108 0.6073  5 Si 2.37-2.49
Si: 0.7500 0.8383 0.8144  2 Cr 2.45-2.49, 2 Si 2.52
Si: 0.2500 0.1617 0.1856  2 Cr 2.45-2.49, 2 Si 2.52
Si: 0.7500 0.3383 0.6856  2 Cr 2.45-2.49, 2 Si 2.52
Si: 0.2500 0.6617 0.3144  2 Cr 2.45-2.49, 2 Si 2.52
Si: 0.7500 0.7992 0.4283  3 Cr 2.37-2.46, 2 Si 2.52
Si: 0.2500 0.7008 0.9283  3 Cr 2.37-2.46, 2 Si 2.52
Si: 0.7500 0.2992 0.0717  3 Cr 2.37-2.46, 2 Si 2.52
Si: 0.2500 0.2008 0.5717  3 Cr 2.37-2.46, 2 Si 2.52

=====

[2]
ThCr2Si2 | GGA-PBE | relaxed

Output
**Calculated density**: 7.686 g/cm3
**Final energy**: -0.2912 Ha/atom
**Uncorrected formation energy**: -9.7 kcal/mol of atoms

Cell: 5.9946 5.9946 5.9946 Å, 140.97 140.97 56.38°
Last column: nearest neighbours and their distance in Å.
Atoms (fractional coordinates):
Th: 0.0000 0.0000 0.0000  8 Si 3.11, 8 Cr 3.31
Cr: 0.7500 0.2500 0.5000  4 Si 2.42
Cr: 0.2500 0.7500 0.5000  4 Si 2.42
Si: 0.6221 0.6221 0.0000  4 Cr 2.42, 1 Si 2.58
Si: 0.3779 0.3779 0.0000  4 Cr 2.42, 1 Si 2.58

=====

[3]
Ti3CrSi | GGA-PBE | relaxed

Output
**E above lowest polymorph**: 223 meV per atom
**Calculated density**: 3.947 g/cm3
**Final energy**: -0.2565 Ha/atom
**Uncorrected formation energy**: 17.7 kcal/mol of atoms

Cell: 4.5484 4.5484 4.5484 Å, 90.00 90.00 90.00°
Last column: nearest neighbours and their distance in Å.
Atoms (fractional coordinates):
Cr: 0.5000 0.5000 0.5000  12 Ti 3.22
Si: 0.0000 0.0000 0.0000  6 Ti 2.27
Ti: 0.0000 0.5000 0.0000  2 Si 2.27
Ti: 0.0000 0.0000 0.5000  2 Si 2.27
Ti: 0.5000 0.0000 0.0000  2 Si 2.27

=====

[4]
TiCrSi2 | GGA-PBE | relaxed

Output
**Calculated density**: 4.695 g/cm3
**Final energy**: -0.2707 Ha/atom
**Uncorrected formation energy**: -6.3 kcal/mol of atoms

Cell: 3.9552 3.9552 4.6699 Å, 64.95 64.95 60.00°
Last column: nearest neighbours and their distance in Å.
Atoms (fractional coordinates):
Cr: 0.0000 0.0000 0.0000  6 Si 2.39
Si: 0.2751 0.2751 0.1748  3 Cr 2.39, 3 Ti 2.64
Si: 0.7249 0.7249 0.8252  3 Cr 2.39, 3 Ti 2.64
Ti: 0.5000 0.5000 0.5000  8 Si 2.64-2.75

=====

[5]
Ti2CrSi | GGA-PBE | relaxed

Output
**Calculated density**: 4.835 g/cm3
**Final energy**: -0.2745 Ha/atom
**Uncorrected formation energy**: 5.5 kcal/mol of atoms

Cell: 6.8854 6.8854 5.4949 Å, 51.21 51.21 90.00°
Last column: nearest neighbours and their distance in Å.
Atoms (fractional coordinates):
Cr: 0.0000 0.0000 0.0000  4 Ti 2.42, 2 Si 2.55
Cr: 0.7500 0.2500 0.5000  4 Ti 2.42, 2 Si 2.55
Si: 0.5000 0.5000 0.0000  2 Cr 2.55, 4 Ti 2.62
Si: 0.2500 0.7500 0.5000  2 Cr 2.55, 4 Ti 2.62
Ti: 0.6468 0.1250 0.2500  2 Cr 2.42, 2 Ti 2.57, 2 Si 2.62
Ti: 0.1032 0.6250 0.2500  2 Cr 2.42, 2 Ti 2.57, 2 Si 2.62
Ti: 0.3750 0.3532 0.7500  2 Cr 2.42, 2 Ti 2.57, 2 Si 2.62
Ti: 0.8750 0.8968 0.7500  2 Cr 2.42, 2 Ti 2.57, 2 Si 2.62

=====

[6]
Ti3CrSi | GGA-PBE | relaxed

Output
**E above lowest polymorph**: 0 meV per atom
**Calculated density**: 4.196 g/cm3
**Final energy**: -0.2647 Ha/atom
**Uncorrected formation energy**: 12.5 kcal/mol of atoms

Cell: 4.4566 4.4566 4.4566 Å, 90.00 90.00 90.00°
Last column: nearest neighbours and their distance in Å.
Atoms (fractional coordinates):
Cr: 0.0000 0.0000 0.0000  6 Ti 2.23
Si: 0.5000 0.5000 0.5000  12 Ti 3.15
Ti: 0.0000 0.5000 0.0000  2 Cr 2.23
Ti: 0.0000 0.0000 0.5000  2 Cr 2.23
Ti: 0.5000 0.0000 0.0000  2 Cr 2.23

=====

[7]
TiCrSi3 | GGA-PBE | relaxed

Output
**E above lowest polymorph**: 0 meV per atom
**Calculated density**: 3.603 g/cm3
**Final energy**: -0.2297 Ha/atom
**Uncorrected formation energy**: 11.7 kcal/mol of atoms

Cell: 4.3942 4.3942 4.3942 Å, 90.00 90.00 90.00°
Last column: nearest neighbours and their distance in Å.
Atoms (fractional coordinates):
Cr: 0.0000 0.0000 0.0000  6 Si 2.20
Si: 0.0000 0.5000 0.0000  2 Cr 2.20
Si: 0.0000 0.0000 0.5000  2 Cr 2.20
Si: 0.5000 0.0000 0.0000  2 Cr 2.20
Ti: 0.5000 0.5000 0.5000  12 Si 3.11

=====

[8]
TiCr3Si | GGA-PBE | relaxed

Output
**E above lowest polymorph**: 0 meV per atom
**Calculated density**: 5.051 g/cm3
**Final energy**: -0.2794 Ha/atom
**Uncorrected formation energy**: 19.2 kcal/mol of atoms

Cell: 4.2406 4.2406 4.2406 Å, 90.00 90.00 90.00°
Last column: nearest neighbours and their distance in Å.
Atoms (fractional coordinates):
Cr: 0.0000 0.5000 0.0000  2 Si 2.12
Cr: 0.0000 0.0000 0.5000  2 Si 2.12
Cr: 0.5000 0.0000 0.0000  2 Si 2.12
Si: 0.0000 0.0000 0.0000  6 Cr 2.12
Ti: 0.5000 0.5000 0.5000  12 Cr 3.00

=====

[9]
TiCrSi4 | GGA-PBE | relaxed

Output
**E above lowest polymorph**: 54 meV per atom
**Calculated density**: 4.493 g/cm3
**Final energy**: -0.2538 Ha/atom
**Uncorrected formation energy**: -8.6 kcal/mol of atoms

Cell: 3.0805 4.5092 6.4844 Å, 110.72 90.00 109.97°
Last column: nearest neighbours and their distance in Å.
Atoms (fractional coordinates):
Ti: 0.5000 0.5000 0.5000  10 Si 2.63-2.65
Cr: 0.5000 0.5000 0.0000  10 Si 2.52-2.64
Si: 0.1635 0.8270 0.3151  2 Cr 2.52, 5 Si 2.57-2.76, 3 Ti 2.64-2.65
Si: 0.8365 0.1730 0.6849  2 Cr 2.52, 5 Si 2.57-2.76, 3 Ti 2.64-2.65
Si: 0.8366 0.1732 0.1577  3 Cr 2.53-2.64, 5 Si 2.54-2.59, 2 Ti 2.63
Si: 0.1634 0.8268 0.8423  3 Cr 2.53-2.64, 5 Si 2.54-2.59, 2 Ti 2.63

=====

[10]
Ti2CrSi | GGA-PBE | relaxed

Output
**Calculated density**: 5.142 g/cm3
**Final energy**: -0.2973 Ha/atom
**Uncorrected formation energy**: -8.8 kcal/mol of atoms

Cell: 3.1800 3.1800 5.6151 Å, 90.00 90.00 90.00°
Last column: nearest neighbours and their distance in Å.
Atoms (fractional coordinates):
Cr: 0.5000 0.5000 0.0000  8 Ti 2.64, 2 Si 2.81
Si: 0.5000 0.5000 0.5000  8 Ti 2.67, 2 Cr 2.81
Ti: 0.0000 0.0000 0.7549  4 Cr 2.64, 4 Si 2.67, 2 Ti 2.75-2.86
Ti: 0.0000 0.0000 0.2451  4 Cr 2.64, 4 Si 2.67, 2 Ti 2.75-2.86

=====

[11]
TiCrSi3 | GGA-PBE | relaxed

Output
**E above lowest polymorph**: 755 meV per atom
**Calculated density**: 3.070 g/cm3
**Final energy**: -0.2019 Ha/atom
**Uncorrected formation energy**: 29.1 kcal/mol of atoms

Cell: 4.6350 4.6350 4.6350 Å, 90.00 90.00 90.00°
Last column: nearest neighbours and their distance in Å.
Atoms (fractional coordinates):
Cr: 0.5000 0.5000 0.5000  12 Si 3.28
Si: 0.0000 0.5000 0.0000  2 Ti 2.32
Si: 0.0000 0.0000 0.5000  2 Ti 2.32
Si: 0.5000 0.0000 0.0000  2 Ti 2.32
Ti: 0.0000 0.0000 0.0000  6 Si 2.32

=====

[12]
Ti2Cr4Si5 | GGA-PBE | relaxed

Output
**Calculated density**: 5.265 g/cm3
**Final energy**: -0.2930 Ha/atom
**Uncorrected formation energy**: -13.2 kcal/mol of atoms

Cell: 9.0372 9.0372 9.0372 Å, 149.30 131.48 58.52°
Last column: nearest neighbours and their distance in Å.
Atoms (fractional coordinates):
Ti: 0.7429 0.3582 0.3847  7 Si 2.56-2.73
Ti: 0.2571 0.6418 0.6153  7 Si 2.56-2.73
Ti: 0.9735 0.8582 0.1153  7 Si 2.56-2.73
Ti: 0.0265 0.1418 0.8847  7 Si 2.56-2.73
Cr: 0.3079 0.5579 0.2500  2 Cr 2.39, 6 Si 2.42-2.50
Cr: 0.6921 0.4421 0.7500  2 Cr 2.39, 6 Si 2.42-2.50
Cr: 0.6921 0.9421 0.2500  2 Cr 2.39, 6 Si 2.42-2.50
Cr: 0.3079 0.0579 0.7500  2 Cr 2.39, 6 Si 2.42-2.50
Cr: 0.3156 0.0638 0.2518  5 Si 2.37-2.45
Cr: 0.6844 0.9362 0.7482  5 Si 2.37-2.45
Cr: 0.8120 0.5638 0.2482  5 Si 2.37-2.45
Cr: 0.1880 0.4362 0.7518  5 Si 2.37-2.45
Si: 0.4194 0.2124 0.2070  5 Cr 2.37-2.50, 2 Ti 2.64-2.65
Si: 0.5806 0.7876 0.7930  5 Cr 2.37-2.50, 2 Ti 2.64-2.65
Si: 0.0054 0.7124 0.2930  5 Cr 2.37-2.50, 2 Ti 2.64-2.65
Si: 0.9946 0.2876 0.7070  5 Cr 2.37-2.50, 2 Ti 2.64-2.65
Si: 0.0000 0.2500 0.2500  2 Si 2.39, 4 Cr 2.44, 4 Ti 2.68
Si: 0.0000 0.7500 0.7500  2 Si 2.39, 4 Cr 2.44, 4 Ti 2.68
Si: 0.5181 0.4358 0.0823  4 Cr 2.37-2.45, 1 Si 2.37, 1 Ti 2.56
Si: 0.4819 0.5642 0.9177  4 Cr 2.37-2.45, 1 Si 2.37, 1 Ti 2.56
Si: 0.3534 0.9358 0.4177  4 Cr 2.37-2.45, 1 Si 2.37, 1 Ti 2.56
Si: 0.6466 0.0642 0.5823  4 Cr 2.37-2.45, 1 Si 2.37, 1 Ti 2.56